DFT (PBE with a Hubbard U) results for Ta2VF after structural relaxation.

Energy above the lowest structure with this stoichiometry, eV/atom: 0.282

abc: 4.7809 4.7809 13.4189
angles: 90.00 90.00 90.00
Closest atoms and distances in Å follow each position.
Space group I-42d (No. 122)
Unique sites:
Ta  0.1383  0.2500  0.1250 x8  2 F 2.16
V  0.0000  0.0000  0.5000 x4  4 Ta 2.69
F  0.0000  0.0000  0.0000 x4  4 Ta 2.16